Computed, not measured: an optimized crystal structure of CoSi2Se at the PBE level of DFT.

extended XYZ file:
```
4
Lattice="3.1596 0.0000 0.0000 0.0000 2.6227 0.0000 0.0000 0.0000 7.0737" Properties=species:S:1:pos:R:3 pbc="T T T"
Co 1.5798 1.3113 1.7684
Se 1.5798 1.3113 5.3052
Si 0.0000 0.0000 0.4363
Si 0.0000 0.0000 3.1006
```

Summary:
Uncorrected energy = -5.208 eV per atom
Crystal system = orthorhombic
ΔE_f (raw) = 0.61 eV per formula unit
SG = Pmmm
Size of the total moment = 0.00 μB/cell